No. 1
! GGA-PBEsol SiTcOs2, relaxed; values from VASP
&SYSTEM
  ibrav = 0, nat = 4, ntyp = 3
/
ATOMIC_SPECIES
Os 190.23 Os.upf
Si 28.09 Si.upf
Tc 98.00 Tc.upf
ATOMIC_POSITIONS crystal
Os 0.0000 0.0000 0.5000
Os 0.5000 0.5000 0.5000
Si 0.5000 0.0000 0.0000
Tc 0.0000 0.5000 0.0000
CELL_PARAMETERS angstrom
-2.1172 1.7249 -0.1504
-2.4776 -3.9301 -1.0463
1.5062 0.4941 4.7576
! total moment: 0.00 μB/cell
! electronic total energy: -10.042 eV/atom
! V: 55.40 Å³/cell

No. 2
! GGA-PBEsol Ir2OsBr, relaxed; values from VASP
&SYSTEM
  ibrav = 0, nat = 4, ntyp = 3
/
ATOMIC_SPECIES
Ir 192.22 Ir.upf
Os 190.23 Os.upf
Br 79.90 Br.upf
ATOMIC_POSITIONS crystal
Ir 0.0000 0.5000 0.0000
Ir 0.5000 0.0000 0.0000
Os 0.5000 0.5000 0.5000
Br 0.0000 0.0000 0.5000
CELL_PARAMETERS angstrom
3.8840 0.0000 0.0000
0.0000 3.8840 0.0000
0.0000 0.0000 3.9926
! total moment: 0.00 μB/cell
! electronic total energy: -7.069 eV/atom
! V: 60.23 Å³/cell